Below is a geometry-optimized MnCrO2 structure, with properties calculated at the PBE+U level.

Lattice parameters (Å, degrees): 3.7905 3.7905 3.7905 60.00 60.00 60.00
Last column: magnetic moment on the atom in μB.
Fractional coordinates of all 4 atoms:
Cr (0.0000, 0.0000, 0.0000)  0.18
Mn (0.5000, 0.5000, 0.5000)  4.54
O (0.2500, 0.2500, 0.2500)  0.07
O (0.7500, 0.7500, 0.7500)  0.07

Results
The symmetry is Fm-3m, No. 225. The value obtained for the density of states at the Fermi level is 0.0 states/eV/cell. The calculation puts the energy relative to the lowest polymorph listed for this composition at 921 meV per atom. The value obtained for the spin magnetization is 5.0 Bohr magnetons per cell.